i | Computed, not measured: a relaxed Pu2ThCu crystal at the PBE level of DFT. Values from VASP.

M_tot = 11.153 μB/f.u.
mass density = 13.327 g/cm³

The structure in Quantum ESPRESSO input format:
```
&SYSTEM
  ibrav = 0, nat = 4, ntyp = 3
/
ATOMIC_SPECIES
Pu 244.00 Pu.upf
Th 232.04 Th.upf
Cu 63.55 Cu.upf
CELL_PARAMETERS angstrom
3.595 0.000 0.000
0.000 3.595 0.000
0.000 0.000 7.557
ATOMIC_POSITIONS crystal
Pu 0.000 0.000 0.207
Pu 0.000 0.000 0.793
Th 0.500 0.500 0.500
Cu 0.500 0.500 0.000
```

***

ii | Computed, not measured: a relaxed Pu2ThCu crystal at the PBE level of DFT. Values from VASP.

M_tot = 13.057 μB/f.u.
mass density = 13.699 g/cm³

The structure in Quantum ESPRESSO input format:
```
&SYSTEM
  ibrav = 0, nat = 4, ntyp = 3
/
ATOMIC_SPECIES
Pu 244.00 Pu.upf
Th 232.04 Th.upf
Cu 63.55 Cu.upf
CELL_PARAMETERS angstrom
0.000 3.621 3.621
3.621 0.000 3.621
3.621 3.621 0.000
ATOMIC_POSITIONS crystal
Pu 0.250 0.250 0.250
Pu 0.750 0.750 0.750
Th 0.000 0.000 0.000
Cu 0.500 0.500 0.500
```

***

The most stable of them is i.

***

i | Computed, not measured: a relaxed YPuCu crystal at the PBE level of DFT. Values from VASP.

M_tot = 6.236 μB/f.u.
mass density = 9.042 g/cm³

The structure in Quantum ESPRESSO input format:
```
&SYSTEM
  ibrav = 0, nat = 3, ntyp = 3
/
ATOMIC_SPECIES
Y 88.91 Y.upf
Pu 244.00 Pu.upf
Cu 63.55 Cu.upf
CELL_PARAMETERS angstrom
-1.726 1.726 6.110
1.726 -1.726 6.110
1.726 1.726 -6.110
ATOMIC_POSITIONS crystal
Y 0.000 0.000 0.000
Pu 0.717 0.717 0.000
Cu 0.365 0.365 0.000
```

***

ii | Computed, not measured: a relaxed YPuCu crystal at the PBE level of DFT. Values from VASP.

M_tot = 1.264 μB/f.u.
mass density = 9.866 g/cm³

The structure in Quantum ESPRESSO input format:
```
&SYSTEM
  ibrav = 0, nat = 6, ntyp = 3
/
ATOMIC_SPECIES
Y 88.91 Y.upf
Pu 244.00 Pu.upf
Cu 63.55 Cu.upf
CELL_PARAMETERS angstrom
4.595 -1.746 0.000
4.595 1.746 0.000
-1.987 0.000 8.318
ATOMIC_POSITIONS crystal
Y 0.172 0.172 0.140
Y 0.828 0.828 0.860
Pu 0.337 0.337 0.526
Pu 0.663 0.663 0.474
Cu 0.087 0.087 0.727
Cu 0.913 0.913 0.273
```

***

The most stable of them is i.